No. 1
Density functional theory data (PBE) for an optimized crystal structure of DyTm2Ir2.

Output
Space group: No. 11
Size of the total moment, μB per formula unit: 0.0
Energy relative to the lowest polymorph listed for this composition, meV/atom: 58
Raw total energy, eV per atom: -7.03
Crystal system: monoclinic

a = 4.3573 Å, b = 5.4510 Å, c = 11.0583 Å
α = 112.30°, β = 90.00°, γ = 90.00°
Element x y z (fractional)
Ir 0.2500 0.8718 0.6411
Tm 0.2500 0.2802 0.5304
Ir 0.7500 0.1282 0.3589
Tm 0.2500 0.7737 0.8827
Ir 0.2500 0.3181 0.9748
Dy 0.2500 0.8092 0.2098
Dy 0.7500 0.1908 0.7902
Tm 0.7500 0.2263 0.1173
Tm 0.7500 0.7198 0.4696
Ir 0.7500 0.6819 0.0252


No. 2
Density functional theory data (PBE) for an optimized crystal structure of InHg2.

Output
Space group: No. 140
Size of the total moment, μB per formula unit: 0.0
Raw total energy, eV per atom: -1.09
Crystal system: tetragonal

a = 6.0252 Å, b = 6.0252 Å, c = 6.0252 Å
α = 107.48°, β = 107.48°, γ = 113.52°
Element x y z (fractional)
Hg 0.8499 0.3499 0.1997
In 0.2500 0.2500 0.0000
Hg 0.3499 0.1501 0.5000
Hg 0.1501 0.6501 0.8003
Hg 0.6501 0.8499 0.5000
In 0.7500 0.7500 0.0000


No. 3
Density functional theory data (PBE) for an optimized crystal structure of NaCd6In5.

Output
Space group: No. 12
Size of the total moment, μB per formula unit: 0.0
Energy relative to the lowest polymorph listed for this composition, meV/atom: 27
Raw total energy, eV per atom: -1.69
Crystal system: monoclinic

a = 8.3467 Å, b = 6.1146 Å, c = 7.5212 Å
α = 66.02°, β = 80.36°, γ = 65.66°
Element x y z (fractional)
Cd 0.8083 0.6236 0.0000
Cd 0.6987 0.5089 0.6273
Cd 0.1917 0.3764 0.0000
In 0.5000 0.5000 0.0000
Cd 0.6987 0.1362 0.3727
In 0.5000 0.1173 0.7655
In 0.0000 0.6976 0.6048
Na 0.0000 0.0000 0.0000
Cd 0.3013 0.4911 0.3727
Cd 0.3013 0.8638 0.6273
In 0.0000 0.3024 0.3952
In 0.5000 0.8827 0.2345


No. 4
Density functional theory data (PBE) for an optimized crystal structure of Mn2CuHW.

Output
Space group: No. 123
Size of the total moment, μB per formula unit: 2.6
Energy relative to the lowest polymorph listed for this composition, meV/atom: 41
Raw total energy, eV per atom: -7.54
Crystal system: tetragonal

a = 3.7371 Å, b = 3.7371 Å, c = 3.8076 Å
α = 90.00°, β = 90.00°, γ = 90.00°
Element x y z (fractional)
Cu 0.5000 0.5000 0.5000
Mn 0.5000 0.0000 0.0000
H 0.0000 0.0000 0.0000
W 0.0000 0.0000 0.5000
Mn 0.0000 0.5000 0.0000


No. 5
Density functional theory data (PBE) for an optimized crystal structure of Cs2CuHgCl6.

Output
Space group: No. 139
ΔE_f (raw), eV/atom: -1.17
Size of the total moment, μB per formula unit: 1.0
Raw total energy, eV per atom: -2.88
Crystal system: tetragonal

a = 7.5302 Å, b = 7.5302 Å, c = 7.6288 Å
α = 60.43°, β = 60.43°, γ = 90.00°
Element x y z (fractional)
Cl 0.2840 0.2840 0.0000
Cl 0.7160 0.2840 0.0000
Cl 0.7160 0.7160 0.0000
Cl 0.2175 0.2175 0.5650
Cs 0.7500 0.2500 0.5000
Cs 0.2500 0.7500 0.5000
Cu 0.5000 0.5000 0.0000
Cl 0.7825 0.7825 0.4350
Hg 0.0000 0.0000 0.0000
Cl 0.2840 0.7160 0.0000


No. 6
Density functional theory data (PBE) for an optimized crystal structure of Li2PaSnCl8.

Output
Space group: No. 2
ΔE_f (raw), eV/atom: -1.63
Size of the total moment, μB per formula unit: 1.0
Raw total energy, eV per atom: -4.30
Crystal system: triclinic

a = 6.6490 Å, b = 6.9132 Å, c = 8.5840 Å
α = 73.04°, β = 90.27°, γ = 101.45°
Element x y z (fractional)
Sn 0.0000 0.0000 0.5000
Cl 0.1348 0.7799 0.2833
Cl 0.6406 0.7451 0.0660
Cl 0.1151 0.7847 0.8186
Cl 0.3594 0.2549 0.9340
Cl 0.6207 0.7250 0.5495
Cl 0.8849 0.2153 0.1814
Pa 0.0000 0.0000 0.0000
Li 0.5422 0.3614 0.6734
Li 0.4578 0.6386 0.3266
Cl 0.3793 0.2750 0.4505
Cl 0.8652 0.2201 0.7167


No. 7
Density functional theory data (PBE) for an optimized crystal structure of ReH3Ir.

Output
Space group: No. 221
Size of the total moment, μB per formula unit: 0.0
Energy relative to the lowest polymorph listed for this composition, meV/atom: 86
Raw total energy, eV per atom: -5.52
Crystal system: cubic

a = 3.4387 Å, b = 3.4387 Å, c = 3.4387 Å
α = 90.00°, β = 90.00°, γ = 90.00°
Element x y z (fractional)
Re 0.0000 0.0000 0.0000
H 0.0000 0.0000 0.5000
H 0.0000 0.5000 0.0000
Ir 0.5000 0.5000 0.5000
H 0.5000 0.0000 0.0000


No. 8
Density functional theory data (PBE) for an optimized crystal structure of Be2TePb2.

Output
Space group: No. 139
ΔE_f (raw), eV/atom: 0.36
Size of the total moment, μB per formula unit: 0.0
Energy relative to the lowest polymorph listed for this composition, meV/atom: 0
Raw total energy, eV per atom: -3.24
Crystal system: tetragonal

a = 3.1864 Å, b = 3.1864 Å, c = 11.9416 Å
α = 82.33°, β = 82.33°, γ = 90.00°
Element x y z (fractional)
Be 0.7500 0.2500 0.5000
Pb 0.6476 0.6476 0.7049
Te 0.0000 0.0000 0.0000
Be 0.2500 0.7500 0.5000
Pb 0.3524 0.3524 0.2951


Which value of size of the total moment does entry 8 give?
0.0 μB per formula unit


size of the total moment of number 5 (Cs2CuHgCl6)?
1.0 μB per formula unit


raw total energy of number 4 (Mn2CuHW)?
-7.54 eV per atom


size of the total moment of number 5 (Cs2CuHgCl6)?
1.0 μB per formula unit